Below is a relaxed SrCr2Te crystal, with properties calculated at the GGA-PBE level.

Cell lengths 6.295, 6.295, 6.295 Å; angles 40.91, 40.91, 40.91 degrees
Positions (direct):
Sr: 0.000 0.000 0.000
Cr: 0.177 0.177 0.177
Cr: 0.823 0.823 0.823
Te: 0.500 0.500 0.500

E_form (uncorrected) = 0.33 eV per atom

---

Below is a relaxed SrCr2Te crystal, with properties calculated at the GGA-PBE level.

Cell lengths 5.904, 5.904, 5.904 Å; angles 135.61, 135.61, 64.58 degrees
Positions (direct):
Sr: 0.000 0.000 0.000
Cr: 0.500 0.500 0.000
Cr: 0.750 0.250 0.500
Te: 0.250 0.750 0.500

E_form (uncorrected) = 0.47 eV per atom

---

Below is a relaxed SrCrTe2 crystal, with properties calculated at the GGA-PBE level.

Cell lengths 7.823, 7.823, 7.823 Å; angles 32.03, 32.03, 32.03 degrees
Positions (direct):
Sr: 0.000 0.000 0.000
Cr: 0.168 0.168 0.168
Te: 0.566 0.566 0.566
Te: 0.767 0.767 0.767

E_form (uncorrected) = -0.72 eV per atom

---

Below is a relaxed SrCr2Te crystal, with properties calculated at the GGA-PBE level.

Cell lengths 4.582, 4.582, 5.019 Å; angles 90.00, 90.00, 90.00 degrees
Positions (direct):
Sr: 0.000 0.000 0.000
Cr: 0.000 0.500 0.500
Cr: 0.500 0.000 0.500
Te: 0.500 0.500 0.000

E_form (uncorrected) = 0.36 eV per atom

---

Below is a relaxed SrCrTe2 crystal, with properties calculated at the GGA-PBE level.

Cell lengths 5.412, 5.412, 3.876 Å; angles 90.00, 90.00, 90.00 degrees
Positions (direct):
Sr: 0.000 0.000 0.000
Cr: 0.500 0.500 0.000
Te: 0.000 0.500 0.500
Te: 0.500 0.000 0.500

E_form (uncorrected) = -0.47 eV per atom

---

Below is a relaxed SrCr2Te crystal, with properties calculated at the GGA-PBE level.

Cell lengths 10.060, 10.060, 10.060 Å; angles 152.68, 152.68, 39.01 degrees
Positions (direct):
Sr: 0.375 0.625 0.750
Sr: 0.625 0.375 0.250
Cr: 0.000 0.000 0.000
Cr: 0.000 0.000 0.500
Cr: 0.000 0.500 0.000
Cr: 0.500 0.000 0.500
Te: 0.125 0.875 0.250
Te: 0.875 0.125 0.750

E_form (uncorrected) = 0.48 eV per atom

---

Below is a relaxed SrCrTe2 crystal, with properties calculated at the GGA-PBE level.

Cell lengths 3.827, 3.827, 7.754 Å; angles 90.00, 90.00, 90.00 degrees
Positions (direct):
Sr: 0.000 0.000 0.000
Cr: 0.000 0.000 0.500
Te: 0.500 0.500 0.276
Te: 0.500 0.500 0.724

E_form (uncorrected) = -0.40 eV per atom

---

Below is a relaxed SrCrTe2 crystal, with properties calculated at the GGA-PBE level.

Cell lengths 4.359, 3.966, 7.532 Å; angles 90.00, 98.16, 90.00 degrees
Positions (direct):
Sr: 0.000 0.000 0.000
Cr: 0.500 0.000 0.500
Te: 0.438 0.500 0.744
Te: 0.562 0.500 0.256

E_form (uncorrected) = -0.68 eV per atom

---

Below is a relaxed Sr4CrTe crystal, with properties calculated at the GGA-PBE level.

Cell lengths 7.166, 7.166, 7.166 Å; angles 60.00, 60.00, 60.00 degrees
Positions (direct):
Sr: 0.125 0.125 0.125
Sr: 0.125 0.125 0.625
Sr: 0.125 0.625 0.125
Sr: 0.625 0.125 0.125
Cr: 0.500 0.500 0.500
Te: 0.750 0.750 0.750

E_form (uncorrected) = 0.47 eV per atom

---

Below is a relaxed SrCrTe2 crystal, with properties calculated at the GGA-PBE level.

Cell lengths 5.192, 5.192, 5.192 Å; angles 60.00, 60.00, 60.00 degrees
Positions (direct):
Sr: 0.000 0.000 0.000
Cr: 0.500 0.500 0.500
Te: 0.250 0.250 0.250
Te: 0.750 0.750 0.750

E_form (uncorrected) = 0.01 eV per atom

---

Below is a relaxed SrCrTe2 crystal, with properties calculated at the GGA-PBE level.

Cell lengths 7.867, 7.867, 7.867 Å; angles 150.71, 149.44, 42.84 degrees
Positions (direct):
Sr: 0.000 0.000 0.000
Cr: 0.751 0.251 0.500
Te: 0.320 0.820 0.500
Te: 0.607 0.607 0.000

E_form (uncorrected) = -0.60 eV per atom

---

Below is a relaxed SrCr2Te crystal, with properties calculated at the GGA-PBE level.

Cell lengths 6.248, 6.248, 6.248 Å; angles 143.86, 131.01, 62.37 degrees
Positions (direct):
Sr: 0.000 0.000 0.000
Cr: 0.284 0.784 0.500
Cr: 0.716 0.216 0.500
Te: 0.500 0.500 0.000

E_form (uncorrected) = 0.42 eV per atom

---

Below is a relaxed SrCr2Te crystal, with properties calculated at the GGA-PBE level.

Cell lengths 4.594, 5.381, 4.598 Å; angles 90.00, 90.04, 90.00 degrees
Positions (direct):
Sr: 0.000 0.000 0.000
Cr: 0.309 0.500 0.502
Cr: 0.691 0.500 0.498
Te: 0.500 0.000 0.500

E_form (uncorrected) = 0.54 eV per atom

---

Below is a relaxed SrCrTe2 crystal, with properties calculated at the GGA-PBE level.

Cell lengths 6.921, 6.921, 6.921 Å; angles 109.61, 109.61, 109.19 degrees
Positions (direct):
Sr: 0.000 0.000 0.000
Sr: 0.750 0.250 0.500
Cr: 0.250 0.750 0.500
Cr: 0.500 0.500 0.000
Te: 0.187 0.625 0.062
Te: 0.375 0.437 0.562
Te: 0.563 0.125 0.938
Te: 0.875 0.813 0.438

E_form (uncorrected) = -0.71 eV per atom

---

Below is a relaxed SrVCrTe2 crystal, with properties calculated at the GGA-PBE level.

Cell lengths 5.308, 5.308, 5.771 Å; angles 90.00, 90.00, 90.00 degrees
Positions (direct):
Sr: 0.000 0.000 0.000
V: 0.000 0.000 0.500
Cr: 0.500 0.500 0.000
Te: 0.000 0.500 0.500
Te: 0.500 0.000 0.500

E_form (uncorrected) = 0.50 eV per atom